VASP calculation (GGA-PBEsol) on PdSeN3 after structural relaxation.

```
PdSeN3
1.0
3.7512 0.0000 0.0000
0.0000 3.7512 0.0000
0.0000 0.0000 3.7512
Pd Se N
1 1 3
Cartesian
0.0000 0.0000 0.0000
1.8756 1.8756 1.8756
0.0000 1.8756 1.8756
1.8756 0.0000 1.8756
1.8756 1.8756 0.0000
```

Output
Formation energy without anion corrections, eV per formula unit: 9.9
Total magnetization, μB/f.u.: 1.31

---

VASP calculation (GGA-PBEsol) on Er2MnC4 after structural relaxation.

```
Er2MnC4
1.0
-3.7376 4.6555 2.4652
3.7376 -4.6555 2.4652
3.7376 4.6555 -2.4652
Er Mn C
4 2 8
Cartesian
1.1617 1.3520 0.0000
1.1617 -1.3520 2.4652
2.5760 6.0075 0.0000
2.5760 3.3035 2.4652
3.7376 0.0000 1.2326
0.0000 4.6555 1.2326
5.0166 0.7400 0.0000
6.3101 1.2070 0.0000
2.5724 3.4484 0.0000
1.2789 3.9155 0.0000
2.4587 0.7400 2.4652
1.1652 1.2070 2.4652
-2.5724 3.4484 2.4652
-1.2789 3.9155 2.4652
```

Output
Energy of formation, meV/atom: -326.2
Total magnetization, μB/f.u.: 0.61

---

VASP calculation (GGA-PBEsol) on LiCo3O2F6 after structural relaxation.

```
LiCo3O2F6
1.0
4.4474 0.0000 0.0000
-0.0524 5.2618 0.0000
-0.0604 -1.1121 9.7509
Li Co O F
2 6 4 12
Cartesian
0.0000 0.0000 0.0000
2.1935 -0.5561 4.8755
-0.0564 2.0748 4.8755
0.0476 0.6046 7.3277
2.0882 1.1479 2.5057
2.1975 2.6309 0.0000
2.2463 3.0017 7.2452
4.2870 3.5450 2.4232
0.7339 2.1363 3.1637
1.3503 1.6233 8.0497
2.9843 2.5264 1.7013
3.6007 2.0133 6.5872
0.7128 3.6359 0.8059
0.8342 0.6099 5.6163
0.8605 4.2650 7.9220
1.1801 4.7580 3.1491
1.2780 3.1476 5.5436
1.3757 1.0546 0.6606
2.9588 3.0950 9.0904
3.0566 1.0020 4.2074
3.1545 -0.6083 6.6019
3.4741 -0.1154 1.8290
3.5004 3.5397 4.1346
3.6218 0.5137 8.9450
```

Output
Formation energy without anion corrections, eV per formula unit: -21.1
Total magnetization, μB/f.u.: 4.29

---

VASP calculation (GGA-PBEsol) on BaCa2Mg after structural relaxation.

```
BaCa2Mg
1.0
3.9506 0.0000 0.0000
0.0000 3.9506 0.0000
0.0000 0.0000 10.2230
Ba Ca Mg
1 2 1
Cartesian
0.0000 0.0000 0.0000
1.9753 1.9753 3.1435
1.9753 1.9753 7.0796
0.0000 0.0000 5.1115
```

Output
Energy of formation, meV/atom: -6.8
Total magnetization, μB/f.u.: 0.00

---

VASP calculation (GGA-PBEsol) on SbP4O12 after structural relaxation.

```
SbP4O12
1.0
4.9584 -5.7540 0.0000
4.9584 5.7540 0.0000
0.0000 0.0000 17.0930
Sb P O
4 16 48
Cartesian
2.1510 2.1324 2.3830
2.1510 -2.1324 14.7100
7.7659 2.1324 6.1635
7.7659 -2.1324 10.9295
3.8698 4.1374 14.3811
4.4924 2.7110 16.8419
6.0471 4.1374 11.2584
3.0452 0.3332 11.9262
5.4244 2.7110 8.7975
3.0452 -0.3332 5.1667
3.4439 0.0000 0.0000
4.9584 1.5935 4.2732
4.9584 -1.5935 12.8197
6.4730 0.0000 8.5465
6.8717 0.3332 13.7132
4.4924 -2.7110 0.2511
6.8717 -0.3332 3.3798
3.8698 -4.1374 2.7119
5.4244 -2.7110 8.2954
6.0471 -4.1374 5.8346
3.4242 3.4165 13.1586
4.6301 4.6746 11.1463
3.5698 3.1805 15.6195
3.7874 3.0583 1.0267
5.2868 4.6746 14.4931
4.0030 3.1624 9.0132
2.0043 0.3576 6.1870
3.9420 2.4583 3.5704
3.4413 1.6143 11.2130
2.6212 0.4447 1.1766
2.0043 -0.3576 10.9060
2.6042 0.2602 13.3333
2.6042 -0.2602 3.7597
2.6212 -0.4447 15.9164
5.9139 3.1624 16.6263
6.1295 3.0583 7.5198
4.4758 1.1147 16.6372
6.4927 3.4165 12.4808
6.3471 3.1805 10.0200
4.3458 0.6284 5.3853
5.9749 2.4583 4.9761
5.4410 1.1147 9.0023
3.4413 -1.6143 5.8799
4.3458 -0.6284 11.7077
5.5710 0.6284 3.1612
6.4756 1.6143 14.4264
4.4758 -1.1147 0.4558
3.9420 -2.4583 13.5226
5.5710 -0.6284 13.9318
3.5698 -3.1805 1.4735
3.4242 -3.4165 3.9344
5.4410 -1.1147 8.0907
3.7874 -3.0583 16.0663
4.0030 -3.1624 8.0798
7.2957 0.4447 7.3699
7.3127 0.2602 12.3061
7.3127 -0.2602 4.7868
7.9126 0.3576 2.3595
7.2957 -0.4447 9.7231
6.4756 -1.6143 2.6665
5.9749 -2.4583 12.1169
7.9126 -0.3576 14.7335
5.9139 -3.1624 0.4667
4.6301 -4.6746 5.9467
6.1295 -3.0583 9.5732
6.3471 -3.1805 7.0730
5.2868 -4.6746 2.5998
6.4927 -3.4165 4.6121
```

Output
Formation energy without anion corrections, eV per formula unit: -32.4
Relative energy among the computed polymorphs, meV per atom: 0
Total magnetization, μB/f.u.: 0.00

---

VASP calculation (GGA-PBEsol) on TcSbAs after structural relaxation.

```
TcSbAs
1.0
3.2965 0.0000 0.0000
-1.6482 2.8549 0.0000
0.0000 0.0000 5.9409
Tc Sb As
1 1 1
Cartesian
0.0000 0.0000 0.0000
1.6483 0.9516 1.9372
0.0000 1.9032 4.3408
```

Output
Formation energy without anion corrections, eV per formula unit: 0.0
Relative energy among the computed polymorphs, meV per atom: 0
Total magnetization, μB/f.u.: 0.00

---

VASP calculation (GGA-PBEsol) on ZnCr3Te after structural relaxation.

```
ZnCr3Te
1.0
5.0558 0.0000 0.0000
0.0000 5.0558 0.0000
0.0000 0.0000 5.0558
Zn Cr Te
1 3 1
Cartesian
0.0000 0.0000 0.0000
0.0000 2.5279 2.5279
2.5279 0.0000 2.5279
2.5279 2.5279 0.0000
2.5279 2.5279 2.5279
```

Output
Formation energy without anion corrections, eV per formula unit: 7.5
Total magnetization, μB/f.u.: 12.86

---

VASP calculation (GGA-PBEsol) on KZrInSe2 after structural relaxation.

```
KZrInSe2
1.0
5.3443 0.0000 0.0000
0.0000 5.3443 0.0000
0.0000 0.0000 5.4161
K Zr In Se
1 1 1 2
Cartesian
0.0000 0.0000 0.0000
2.6722 2.6722 0.0000
0.0000 0.0000 2.7081
0.0000 2.6722 2.7081
2.6722 0.0000 2.7081
```

Output
Formation energy without anion corrections, eV per formula unit: 3.4
Total magnetization, μB/f.u.: 2.62

---

VASP calculation (GGA-PBEsol) on BaRu3 after structural relaxation.

```
BaRu3
1.0
3.1046 0.0000 0.0000
0.0000 3.1046 0.0000
0.0000 0.0000 7.7481
Ba Ru
1 3
Cartesian
0.0000 0.0000 0.0000
0.0000 0.0000 3.8740
1.5523 1.5523 2.5224
1.5523 1.5523 5.2256
```

Output
Energy of formation, meV/atom: 772.3
Total magnetization, μB/f.u.: 0.00

---

VASP calculation (GGA-PBEsol) on Ru2PtW after structural relaxation.

```
Ru2PtW
1.0
2.7198 0.0000 0.0000
0.0000 3.8147 0.0000
0.0000 0.0000 5.5083
Ru Pt W
2 1 1
Cartesian
0.0000 0.0000 1.3641
0.0000 0.0000 4.1443
1.3599 1.9073 2.7542
1.3599 1.9073 0.0000
```

Output
Energy of formation, meV/atom: -14.5
Relative energy among the computed polymorphs, meV per atom: 163
Total magnetization, μB/f.u.: 0.00

---

VASP calculation (GGA-PBEsol) on Rh3Au after structural relaxation.

```
Rh3Au
1.0
2.7202 0.0000 0.0000
0.0000 2.7202 0.0000
0.0000 0.0000 7.7425
Rh Au
3 1
Cartesian
0.0000 0.0000 0.0000
1.3601 1.3601 1.8031
1.3601 1.3601 5.9394
0.0000 0.0000 3.8712
```

Output
Energy of formation, meV/atom: 91.2
Total magnetization, μB/f.u.: 0.00

---

VASP calculation (GGA-PBEsol) on BeCoAu2 after structural relaxation.

```
BeCoAu2
1.0
2.7807 0.0000 0.0000
0.0000 4.2804 0.0000
0.0000 0.0000 8.7439
Be Co Au
2 2 4
Cartesian
0.0000 0.0000 0.0000
1.3904 2.1402 4.3720
0.0000 2.1402 2.6154
1.3904 0.0000 6.9874
0.0000 0.0000 4.4973
0.0000 2.1402 6.3433
1.3904 0.0000 1.9713
1.3904 2.1402 0.1253
```

Output
Energy of formation, meV/atom: 58.1
Total magnetization, μB/f.u.: 1.12

---

VASP calculation (GGA-PBEsol) on Hg2PdF2 after structural relaxation.

```
Hg2PdF2
1.0
5.2565 0.0000 0.0000
0.0000 5.2565 0.0000
0.0000 0.0000 6.1592
Hg Pd F
4 2 4
Cartesian
0.0000 2.6283 1.5398
0.0000 2.6283 4.6194
2.6283 0.0000 1.5398
2.6283 0.0000 4.6194
0.0000 0.0000 0.0000
2.6283 2.6283 3.0796
0.0000 0.0000 1.9786
0.0000 0.0000 4.1807
2.6283 2.6283 1.1010
2.6283 2.6283 5.0582
```

Output
Formation energy without anion corrections, eV per formula unit: -2.9
Total magnetization, μB/f.u.: 0.00

---

VASP calculation (GGA-PBEsol) on Sr3LiN after structural relaxation.

```
Sr3LiN
1.0
5.3053 0.0000 0.0000
0.0000 5.3053 0.0000
0.0000 0.0000 5.3053
Sr Li N
3 1 1
Cartesian
0.0000 0.0000 2.6526
0.0000 2.6526 0.0000
2.6526 0.0000 0.0000
2.6526 2.6526 2.6526
0.0000 0.0000 0.0000
```

Output
Formation energy without anion corrections, eV per formula unit: -1.6
Total magnetization, μB/f.u.: 0.00

---

VASP calculation (GGA-PBEsol) on RbV2Se2 after structural relaxation.

```
RbV2Se2
1.0
3.6632 0.0000 0.0000
0.0000 3.6632 0.0000
0.0000 0.0000 15.4282
Rb V Se
2 4 4
Cartesian
0.0000 0.0000 0.0000
1.8316 1.8316 7.7141
0.0000 1.8316 3.8571
0.0000 1.8316 11.5712
1.8316 0.0000 3.8571
1.8316 0.0000 11.5712
0.0000 0.0000 5.5396
0.0000 0.0000 9.8886
1.8316 1.8316 2.1745
1.8316 1.8316 13.2537
```

Output
Formation energy without anion corrections, eV per formula unit: -4.0
Total magnetization, μB/f.u.: 0.00

---

VASP calculation (GGA-PBEsol) on MoP3C after structural relaxation.

```
MoP3C
1.0
4.5947 0.0000 0.0000
0.0000 4.5947 0.0000
0.0000 0.0000 4.5947
Mo P C
1 3 1
Cartesian
0.0000 0.0000 0.0000
0.0000 0.0000 2.2974
0.0000 2.2974 0.0000
2.2974 0.0000 0.0000
2.2974 2.2974 2.2974
```

Output
Energy of formation, meV/atom: 1771.9
Relative energy among the computed polymorphs, meV per atom: 847
Total magnetization, μB/f.u.: 1.56

---

VASP calculation (GGA-PBEsol) on PrBS3 after structural relaxation.

```
PrBS3
1.0
7.5620 0.0000 0.0000
0.0000 5.9206 0.0000
0.0000 0.0000 8.8674
Pr B S
4 4 12
Cartesian
0.8633 0.4256 0.0000
2.9177 3.3859 4.4337
4.6443 2.5347 0.0000
6.6987 5.4949 4.4337
1.1119 3.5312 7.3484
2.6691 0.5709 2.9147
4.8929 5.3497 7.3484
6.4501 2.3894 2.9147
7.5604 2.4155 4.3369
0.0017 3.5051 8.7706
1.3212 4.9766 6.2644
1.5153 5.1136 2.6313
2.2657 2.1533 7.0650
2.4598 2.0163 1.8307
3.7794 0.5448 4.3369
3.7827 5.3758 8.7706
5.1022 3.9043 6.2644
5.2964 3.7672 2.6313
6.0467 0.8070 7.0650
6.2409 0.9440 1.8307
```

Output
Formation energy without anion corrections, eV per formula unit: -6.4
Total magnetization, μB/f.u.: 0.00

---

VASP calculation (GGA-PBEsol) on KSe3 after structural relaxation.

```
KSe3
1.0
7.1880 0.0000 0.0000
0.0000 7.1880 0.0000
0.0000 0.0000 7.1880
K Se
4 12
Cartesian
0.0000 0.0000 0.0000
0.0000 3.5940 3.5940
3.5940 0.0000 3.5940
3.5940 3.5940 0.0000
0.0000 0.0000 3.5940
0.0000 3.5940 0.0000
1.7970 1.7970 1.7970
1.7970 1.7970 5.3910
1.7970 5.3910 1.7970
1.7970 5.3910 5.3910
3.5940 0.0000 0.0000
3.5940 3.5940 3.5940
5.3910 1.7970 1.7970
5.3910 1.7970 5.3910
5.3910 5.3910 1.7970
5.3910 5.3910 5.3910
```

Output
Formation energy without anion corrections, eV per formula unit: 0.4
Relative energy among the computed polymorphs, meV per atom: 547
Total magnetization, μB/f.u.: 0.00

---

VASP calculation (GGA-PBEsol) on Rh2Pb3 after structural relaxation.

```
Rh2Pb3
1.0
3.3796 0.0000 0.0000
-1.6898 2.9269 0.0000
0.0000 0.0000 32.0485
Rh Pb
6 9
Cartesian
0.0000 0.0000 3.3759
0.0000 0.0000 28.6726
0.0000 1.9512 17.9897
0.0000 1.9512 24.7416
1.6898 0.9756 7.3069
1.6898 0.9756 14.0587
0.0000 0.0000 9.2711
0.0000 0.0000 16.0242
0.0000 0.0000 22.7774
0.0000 1.9512 5.3414
0.0000 1.9512 12.0946
0.0000 1.9512 30.6368
1.6898 0.9756 1.4117
1.6898 0.9756 19.9539
1.6898 0.9756 26.7071
```

Output
Energy of formation, meV/atom: 107.6
Total magnetization, μB/f.u.: 0.00

---

VASP calculation (GGA-PBEsol) on Mg3TlH after structural relaxation.

```
Mg3TlH
1.0
4.4517 0.0000 0.0000
0.0000 4.4517 0.0000
0.0000 0.0000 4.4517
Mg Tl H
3 1 1
Cartesian
0.0000 0.0000 2.2258
0.0000 2.2258 0.0000
2.2258 0.0000 0.0000
2.2258 2.2258 2.2258
0.0000 0.0000 0.0000
```

Output
Calculated total energy, Ry per atom: -0.16612
Total magnetization, μB/f.u.: 0.00

---

VASP calculation (GGA-PBEsol) on SrMg2Ir after structural relaxation.

```
SrMg2Ir
1.0
6.9941 0.0000 0.0000
0.0000 6.9941 0.0000
0.0000 0.0000 6.9941
Sr Mg Ir
4 8 4
Cartesian
0.0000 0.0000 0.0000
0.0000 3.4970 3.4970
3.4970 0.0000 3.4970
3.4970 3.4970 0.0000
0.0000 0.0000 3.4970
0.0000 3.4970 0.0000
1.7485 1.7485 5.2456
1.7485 5.2456 1.7485
3.4970 0.0000 0.0000
3.4970 3.4970 3.4970
5.2456 1.7485 1.7485
5.2456 5.2456 5.2456
1.7485 1.7485 1.7485
1.7485 5.2456 5.2456
5.2456 1.7485 5.2456
5.2456 5.2456 1.7485
```

Output
Energy of formation, meV/atom: 67.9
Total magnetization, μB/f.u.: 0.00

---

VASP calculation (GGA-PBEsol) on Al4Ag3 after structural relaxation.

```
Al4Ag3
1.0
2.8463 0.0000 0.0000
0.0000 2.8463 0.0000
0.0000 0.0000 28.0340
Al Ag
8 6
Cartesian
0.0000 0.0000 3.9856
0.0000 0.0000 8.0287
0.0000 0.0000 20.0053
0.0000 0.0000 24.0484
1.4231 1.4231 5.9883
1.4231 1.4231 10.0314
1.4231 1.4231 18.0026
1.4231 1.4231 22.0457
0.0000 0.0000 0.0000
0.0000 0.0000 11.9244
0.0000 0.0000 16.1096
1.4231 1.4231 2.0926
1.4231 1.4231 14.0170
1.4231 1.4231 25.9414
```

Output
Energy of formation, meV/atom: -32.1
Relative energy among the computed polymorphs, meV per atom: 36
Total magnetization, μB/f.u.: 0.00

---

VASP calculation (GGA-PBEsol) on YTcI2N after structural relaxation.

```
YTcI2N
1.0
5.9686 0.0000 0.0000
0.0000 5.9686 0.0000
0.0000 0.0000 4.0376
Y Tc I N
1 1 2 1
Cartesian
0.0000 0.0000 0.0000
2.9843 2.9843 2.0188
0.0000 2.9843 0.0000
2.9843 0.0000 0.0000
0.0000 0.0000 2.0188
```

Output
Formation energy without anion corrections, eV per formula unit: 3.6
Total magnetization, μB/f.u.: 4.60